LiTm6As2S3 | PBE | relaxed

Results
The total energy is -67.1 eV per formula unit. The value obtained for the magnetic moment is 0.0 μB/f.u. The value obtained for the uncorrected formation energy is -16.705 eV/f.u. Its space-group type is C2/m.

Cell and atoms, written as extended XYZ:
```
12
Lattice="-2.2817 1.0640 -3.0309 -6.2187 -3.6976 3.3836 1.0047 7.6492 4.4899" Properties=species:S:1:pos:R:3 pbc="T T T"
Li -1.1409 0.5320 -1.5155
Tm -5.8313 1.9568 5.0769
Tm -4.7883 1.1508 1.4476
Tm -1.6644 3.0588 -0.2343
Tm -2.9344 7.6200 2.3230
Tm -4.5613 -2.6044 2.5196
Tm -2.7074 3.8648 3.3950
As -5.4464 3.5696 2.7922
As -2.0493 1.4460 2.0504
S -4.2502 -1.3168 0.1763
S -2.2967 5.2975 1.0276
S -5.1990 -0.2819 3.8150
```